Record 1
Ba3CaPt8 (GGA-PBE, relaxed); space group = R3m, No. 160; ΔE_f = -775 meV/atom; raw total energy = -5.4495 eV per atom; total magnetization = 0.00 μB/f.u.
1.0
-3.450 -2.556 3.669
-2.602 -4.801 -1.443
5.085 -7.295 4.048
Ba Pt Ca
3 8 1
direct
0.999 0.999 0.002 Ba
0.500 0.500 0.499 Ba
0.375 0.375 0.875 Ba
0.443 0.938 0.680 Pt
0.687 0.687 0.938 Pt
0.938 0.443 0.680 Pt
0.188 0.188 0.436 Pt
0.933 0.436 0.195 Pt
0.436 0.933 0.195 Pt
0.938 0.938 0.680 Pt
0.436 0.436 0.195 Pt
0.875 0.875 0.376 Ca

=====

Record 2
Zn3SbBr (GGA-PBE, relaxed); space group = Pm-3m, No. 221; E above lowest polymorph = 0.473 eV/atom; raw total energy = -1.3360 eV per atom; total magnetization = 0.00 μB/f.u.; formation energy (no corrections) = 587 meV/atom
1.0
-2.260 4.291 -1.472
-3.109 -2.663 -2.988
-3.303 -0.429 3.819
Zn Sb Br
3 1 1
direct
0.500 0.000 0.000 Zn
0.000 0.500 0.000 Zn
0.000 0.000 0.500 Zn
0.500 0.500 0.500 Sb
0.000 0.000 0.000 Br

=====

Record 3
Tb4Pm5Nd2 (GGA-PBE, relaxed); space group = C2/m, No. 12; ΔE_f = 139 meV/atom; E above lowest polymorph = 0.000 eV/atom; raw total energy = -4.5712 eV per atom; total magnetization = 0.00 μB/f.u.
1.0
3.452 0.000 -0.526
-0.190 8.790 -1.247
0.099 0.300 12.237
Tb Pm Nd
4 5 2
direct
0.677 0.472 0.354 Tb
0.046 0.363 0.091 Tb
0.323 0.528 0.646 Tb
0.954 0.637 0.909 Tb
0.140 0.121 0.281 Pm
0.232 0.822 0.465 Pm
0.860 0.879 0.719 Pm
0.500 0.000 0.000 Pm
0.768 0.178 0.535 Pm
0.908 0.265 0.816 Nd
0.092 0.735 0.184 Nd

=====

- Which of these has the highest raw total energy?
  Zn3SbBr